(1)
VASP calculation (PBE-GGA) on an optimized crystal structure of Pm6Ga2Bi.

Computed properties:
Symmetry   No. 71
Spin magnetization   0.0 μB/f.u.
Energy of formation from the pure elements   -0.454 eV per atom
Density   7.5 Mg/m³

Unit cell a=8.9230 b=8.9230 c=8.9230 alpha=103.95 beta=111.07 gamma=113.54
Last column: nearest neighbours and their distance in Å.
Atoms (fractional coordinates):
1 Pm 0.5295 0.7169 0.8126  3 Ga 3.12-3.32, 1 Bi 3.35
2 Pm 0.4705 0.2831 0.1874  3 Ga 3.12-3.32, 1 Bi 3.35
3 Pm 0.0957 0.2831 0.8126  3 Ga 3.12-3.32, 1 Bi 3.35
4 Pm 0.9043 0.7169 0.1874  3 Ga 3.12-3.32, 1 Bi 3.35
5 Pm 0.7925 0.7679 0.5605  2 Ga 3.03-3.38, 1 Bi 3.30
6 Pm 0.2075 0.2321 0.4395  2 Ga 3.03-3.38, 1 Bi 3.30
7 Pm 0.2075 0.7679 0.9754  2 Ga 3.03-3.38, 1 Bi 3.30
8 Pm 0.7925 0.2321 0.0246  2 Ga 3.03-3.38, 1 Bi 3.30
9 Pm 0.7038 0.3817 0.6779  3 Ga 3.00-3.09
10 Pm 0.2962 0.6183 0.3221  3 Ga 3.00-3.09
11 Pm 0.2962 0.9742 0.6779  3 Ga 3.00-3.09
12 Pm 0.7038 0.0258 0.3221  3 Ga 3.00-3.09
13 Ga 0.5000 0.3820 0.8820  1 Ga 2.59
14 Ga 0.5000 0.6180 0.1180  1 Ga 2.59
15 Ga 0.6316 0.0000 0.6316  1 Ga 2.66
16 Ga 0.3684 0.0000 0.3684  1 Ga 2.66
17 Bi 0.0000 0.5000 0.5000  12 Pm 3.50-3.80
18 Bi 0.0000 0.0000 0.0000  8 Pm 3.30-3.35

(2)
VASP calculation (PBE-GGA) on an optimized crystal structure of BePdS.

Computed properties:
Formation energy (no corrections)   -456 meV per atom
Symmetry   No. 6
Spin magnetization   0.0 μB/f.u.
Density   5.4 Mg/m³

Unit cell a=3.4474 b=3.4452 c=7.6281 alpha=85.22 beta=90.00 gamma=89.99
Last column: nearest neighbours and their distance in Å.
Atoms (fractional coordinates):
1 Be 0.7607 0.0183 0.3479  4 S 2.08-2.11
2 Be 0.2600 0.9036 0.9216  1 S 2.10, 1 Pd 2.30
3 S 0.2605 0.0143 0.1883  3 Be 2.10-2.11
4 S 0.7603 0.4875 0.5035  2 Be 2.08-2.10
5 Pd 0.2602 0.4581 0.7133  2 Be 2.30-2.38, 2 S 2.35
6 Pd 0.7602 0.3836 0.9831  4 Be 2.46-2.50, 2 S 2.59, 2 Pd 2.68

(3)
VASP calculation (PBE-GGA) on an optimized crystal structure of YZn2Cl.

Computed properties:
Formation energy (no corrections)   -469 meV per atom
Symmetry   No. 12
Polymorph energy (0 for the lowest one)   126.3 meV per atom
Spin magnetization   0.0 μB/f.u.
Density   4.7 Mg/m³

Unit cell a=6.3845 b=5.4828 c=3.5075 alpha=89.81 beta=57.06 gamma=114.10
Last column: nearest neighbours and their distance in Å.
Atoms (fractional coordinates):
1 Cl 0.0000 0.5000 0.5000  2 Y 2.68
2 Y 0.5000 0.5000 0.0000  2 Cl 2.68
3 Zn 0.0000 0.0000 0.0000  2 Zn 2.68
4 Zn 0.5000 0.0000 0.5000  2 Zn 2.68

(4)
VASP calculation (PBE-GGA) on an optimized crystal structure of LaBi2IO4.

Computed properties:
Formation energy (no corrections)   -1904 meV per atom
Symmetry   No. 123
Spin magnetization   0.0 μB/f.u.
Density   7.7 Mg/m³

Unit cell a=4.0383 b=4.0383 c=9.8542 alpha=90.00 beta=90.00 gamma=90.00
Last column: nearest neighbours and their distance in Å.
Atoms (fractional coordinates):
1 La 0.0000 0.0000 0.0000  8 O 2.52
2 Bi 0.5000 0.5000 0.7392  4 O 2.28
3 Bi 0.5000 0.5000 0.2608  4 O 2.28
4 I 0.0000 0.0000 0.5000  8 Bi 3.70, 8 O 3.97, 4 I 4.04
5 O 0.0000 0.5000 0.1526  2 Bi 2.28, 2 La 2.52
6 O 0.0000 0.5000 0.8474  2 Bi 2.28, 2 La 2.52
7 O 0.5000 0.0000 0.8474  2 Bi 2.28, 2 La 2.52
8 O 0.5000 0.0000 0.1526  2 Bi 2.28, 2 La 2.52